# 1
First-principles (PBE) data for crystalline PaSnAu2 at its relaxed geometry, as listed in Alexandria via LeMat-Bulk.

Fermi-level density of states (states/eV per cell): 6.2
Distance to the lowest polymorph of the same formula (eV/atom): 0.189
Energy of formation (eV per atom): -0.218
Total DFT energy (no corrections) (eV/atom): -5.2312
Magnetization (μB/cell): 0.8

a b c (Å): 4.411 4.529 4.529
angles (deg): 90.00 90.00 90.00
Each line ends with the local moment (μB).
Fractional coordinates of all 4 atoms:
1 Pa 0.500 0.500 0.500  0.64
2 Au 0.000 0.000 0.500  0.02
3 Au 0.000 0.500 0.000  0.02
4 Sn 0.500 0.000 0.000  0.01

=====

# 2
First-principles (PBE) data for crystalline ZnPtPb2 at its relaxed geometry, as listed in Alexandria via LeMat-Bulk.

Fermi-level density of states (states/eV per cell): 2.1
Energy of formation (eV per atom): 0.029
Total DFT energy (no corrections) (eV/atom): -3.6540
Magnetization (μB/cell): 0.0

a b c (Å): 3.365 3.589 7.688
angles (deg): 90.00 90.00 90.00
Fractional coordinates of all 4 atoms:
1 Pb 0.000 0.000 0.025
2 Pb 0.000 0.000 0.475
3 Pt 0.500 0.500 0.250
4 Zn 0.500 0.500 0.750

=====

# 3
First-principles (PBE) data for crystalline Ca3InGa2Pd9 at its relaxed geometry, as listed in Alexandria via LeMat-Bulk.

Fermi-level density of states (states/eV per cell): 7.0
Energy of formation (eV per atom): -0.494
Total DFT energy (no corrections) (eV/atom): -4.5963
Magnetization (μB/cell): 0.0

a b c (Å): 5.691 5.691 11.876
angles (deg): 90.00 90.00 120.00
Fractional coordinates of all 15 atoms:
1 Ca 0.333 0.667 0.767
2 Ca 0.000 0.000 0.000
3 Ca 0.667 0.333 0.233
4 In 0.000 0.000 0.500
5 Ga 0.333 0.667 0.160
6 Ga 0.667 0.333 0.840
7 Pd 0.837 0.163 0.686
8 Pd 0.837 0.673 0.686
9 Pd 0.327 0.163 0.686
10 Pd 0.673 0.837 0.314
11 Pd 0.163 0.327 0.314
12 Pd 0.163 0.837 0.314
13 Pd 0.500 0.000 0.000
14 Pd 0.000 0.500 0.000
15 Pd 0.500 0.500 0.000

=====

# 4
First-principles (PBE) data for crystalline TaTlBiI2 at its relaxed geometry, as listed in Alexandria via LeMat-Bulk.

Fermi-level density of states (states/eV per cell): 4.1
ΔE_f (raw) (meV per atom): 630
Total DFT energy (no corrections) (eV/atom): -3.6104
Magnetization (μB/cell): 1.6

a b c (Å): 5.399 5.960 5.399
angles (deg): 90.00 90.00 90.00
Each line ends with the local moment (μB).
Fractional coordinates of all 5 atoms:
1 I 0.000 0.000 0.500  0.02
2 I 0.500 0.000 0.000  0.01
3 Tl 0.000 0.500 0.000  0.00
4 Bi 0.500 0.500 0.500  0.84
5 Ta 0.000 0.000 0.000  0.12

=====

# 5
First-principles (PBE) data for crystalline UAg2Cl8 at its relaxed geometry, as listed in Alexandria via LeMat-Bulk.

Fermi-level density of states (states/eV per cell): 6.0
Distance to the lowest polymorph of the same formula (eV/atom): 0.000
ΔE_f (raw) (meV per atom): -1053
Total DFT energy (no corrections) (eV/atom): -3.9407
Magnetization (μB/cell): 0.6

a b c (Å): 5.722 7.688 7.688
angles (deg): 81.20 91.53 91.53
Each line ends with the local moment (μB).
Fractional coordinates of all 11 atoms:
1 U 0.000 0.000 0.000  0.69
2 Ag 0.198 0.393 0.393  0.00
3 Ag 0.802 0.607 0.607  0.00
4 Cl 0.234 0.732 0.088  -0.02
5 Cl 0.766 0.912 0.268  -0.02
6 Cl 0.267 0.181 0.181  -0.02
7 Cl 0.733 0.819 0.819  -0.02
8 Cl 0.234 0.088 0.732  -0.02
9 Cl 0.766 0.268 0.912  -0.02
10 Cl 0.737 0.398 0.398  0.01
11 Cl 0.263 0.602 0.602  0.01

=====

# 6
First-principles (PBE) data for crystalline Ca3ZnAu4 at its relaxed geometry, as listed in Alexandria via LeMat-Bulk.

Fermi-level density of states (states/eV per cell): 3.6
Energy of formation (eV per atom): -0.617
Total DFT energy (no corrections) (eV/atom): -3.1658
Magnetization (μB/cell): 0.0

a b c (Å): 4.258 6.896 8.083
angles (deg): 115.25 105.27 90.00
Fractional coordinates of all 8 atoms:
1 Ca 0.187 0.187 0.374
2 Ca 0.813 0.813 0.626
3 Ca 0.000 0.500 0.000
4 Zn 0.500 0.000 0.000
5 Au 0.381 0.586 0.763
6 Au 0.619 0.414 0.237
7 Au 0.619 0.824 0.237
8 Au 0.381 0.176 0.763

=====

# 7
First-principles (PBE) data for crystalline Ca2YZn3 at its relaxed geometry, as listed in Alexandria via LeMat-Bulk.

Fermi-level density of states (states/eV per cell): 8.6
Distance to the lowest polymorph of the same formula (eV/atom): 0.000
Energy of formation (eV per atom): -0.281
Total DFT energy (no corrections) (eV/atom): -2.6622
Magnetization (μB/cell): 0.0

a b c (Å): 5.164 8.115 7.293
angles (deg): 89.99 89.98 71.45
Fractional coordinates of all 12 atoms:
1 Ca 0.000 0.000 0.000
2 Ca 0.000 0.000 0.500
3 Ca 0.334 0.333 0.500
4 Ca 0.666 0.667 0.500
5 Y 0.334 0.331 0.000
6 Y 0.666 0.669 0.000
7 Zn 0.830 0.339 0.765
8 Zn 0.499 0.000 0.239
9 Zn 0.170 0.661 0.235
10 Zn 0.830 0.339 0.235
11 Zn 0.170 0.661 0.765
12 Zn 0.501 0.000 0.761

=====

# 8
First-principles (PBE) data for crystalline Cs2Tl4CdIn3 at its relaxed geometry, as listed in Alexandria via LeMat-Bulk.

Fermi-level density of states (states/eV per cell): 6.7
Energy of formation (eV per atom): -0.069
Total DFT energy (no corrections) (eV/atom): -2.0993
Magnetization (μB/cell): 0.0

a b c (Å): 5.325 5.325 12.741
angles (deg): 90.00 90.00 90.00
Fractional coordinates of all 10 atoms:
1 Cs 0.500 0.000 0.251
2 Cs 0.000 0.500 0.749
3 Tl 0.500 0.500 0.000
4 Tl 0.000 0.000 0.000
5 Tl 0.500 0.000 0.627
6 Tl 0.000 0.500 0.373
7 Cd 0.500 0.500 0.500
8 In 0.000 0.000 0.500
9 In 0.500 0.000 0.870
10 In 0.000 0.500 0.130

=====

# 9
First-principles (PBE) data for crystalline GaSn2Se4 at its relaxed geometry, as listed in Alexandria via LeMat-Bulk.

Fermi-level density of states (states/eV per cell): 4.6
ΔE_f (raw) (meV per atom): -344
Total DFT energy (no corrections) (eV/atom): -3.9109
Magnetization (μB/cell): 0.0

a b c (Å): 6.929 7.280 7.693
angles (deg): 90.00 104.94 90.00
Fractional coordinates of all 14 atoms:
1 Ga 0.266 0.750 0.188
2 Ga 0.734 0.250 0.812
3 Sn 0.769 0.750 0.077
4 Sn 0.231 0.250 0.923
5 Sn 0.302 0.250 0.450
6 Sn 0.698 0.750 0.550
7 Se 0.507 0.497 0.251
8 Se 0.054 0.750 0.884
9 Se 0.946 0.250 0.116
10 Se 0.507 0.003 0.251
11 Se 0.946 0.250 0.605
12 Se 0.493 0.997 0.749
13 Se 0.493 0.503 0.749
14 Se 0.054 0.750 0.395

=====

# 10
First-principles (PBE) data for crystalline SiO at its relaxed geometry, as listed in Alexandria via LeMat-Bulk.

ΔE_f (raw) (meV per atom): -339
Total DFT energy (no corrections) (eV/atom): -5.5301
Magnetization (μB/cell): 0.0

a b c (Å): 4.614 4.614 4.614
angles (deg): 90.00 90.00 90.00
Fractional coordinates of all 8 atoms:
1 Si 0.500 0.500 0.500
2 Si 0.500 0.000 0.000
3 Si 0.000 0.500 0.000
4 Si 0.000 0.000 0.500
5 O 0.000 0.000 0.000
6 O 0.000 0.500 0.500
7 O 0.500 0.000 0.500
8 O 0.500 0.500 0.000

=====

# 11
First-principles (PBE) data for crystalline SrMg2Ag at its relaxed geometry, as listed in Alexandria via LeMat-Bulk.

Fermi-level density of states (states/eV per cell): 1.9
Energy of formation (eV per atom): -0.107
Total DFT energy (no corrections) (eV/atom): -2.0381
Magnetization (μB/cell): 0.0

a b c (Å): 3.564 3.908 7.675
angles (deg): 90.00 90.00 90.00
Fractional coordinates of all 4 atoms:
1 Ag 0.500 0.500 0.807
2 Mg 0.000 0.000 0.974
3 Mg 0.500 0.500 0.198
4 Sr 0.000 0.000 0.521

=====

# 12
First-principles (PBE) data for crystalline Sr2HfGe2 at its relaxed geometry, as listed in Alexandria via LeMat-Bulk.

Fermi-level density of states (states/eV per cell): 4.2
Energy of formation (eV per atom): -0.336
Total DFT energy (no corrections) (eV/atom): -4.8461
Magnetization (μB/cell): 0.0

a b c (Å): 7.372 7.372 4.980
angles (deg): 90.00 90.00 90.00
Fractional coordinates of all 10 atoms:
1 Sr 0.174 0.674 0.500
2 Sr 0.674 0.826 0.500
3 Sr 0.826 0.326 0.500
4 Sr 0.326 0.174 0.500
5 Ge 0.371 0.871 0.000
6 Ge 0.871 0.629 0.000
7 Ge 0.629 0.129 0.000
8 Ge 0.129 0.371 0.000
9 Hf 0.000 0.000 0.000
10 Hf 0.500 0.500 0.000

=====

# 13
First-principles (PBE) data for crystalline Be3PtBr at its relaxed geometry, as listed in Alexandria via LeMat-Bulk.

Fermi-level density of states (states/eV per cell): 2.2
Distance to the lowest polymorph of the same formula (eV/atom): 0.000
ΔE_f (raw) (meV per atom): 298
Total DFT energy (no corrections) (eV/atom): -3.4801
Magnetization (μB/cell): 0.0

a b c (Å): 4.428 4.428 4.428
angles (deg): 90.00 90.00 90.00
Fractional coordinates of all 5 atoms:
1 Be 0.000 0.500 0.000
2 Be 0.000 0.000 0.500
3 Be 0.500 0.000 0.000
4 Br 0.500 0.500 0.500
5 Pt 0.000 0.000 0.000

=====

# 14
First-principles (PBE) data for crystalline Ba2SmSn3Pt4 at its relaxed geometry, as listed in Alexandria via LeMat-Bulk.

Fermi-level density of states (states/eV per cell): 5.0
Energy of formation (eV per atom): -0.849
Total DFT energy (no corrections) (eV/atom): -5.3231
Magnetization (μB/cell): 0.0

a b c (Å): 4.785 4.785 11.242
angles (deg): 90.00 90.00 90.00
Fractional coordinates of all 10 atoms:
1 Ba 0.500 0.000 0.232
2 Ba 0.000 0.500 0.768
3 Sm 0.500 0.500 0.500
4 Sn 0.000 0.000 0.500
5 Sn 0.500 0.000 0.884
6 Sn 0.000 0.500 0.116
7 Pt 0.500 0.500 0.000
8 Pt 0.000 0.000 0.000
9 Pt 0.500 0.000 0.642
10 Pt 0.000 0.500 0.358

=====

# 15
First-principles (PBE) data for crystalline TbPm5Tm4 at its relaxed geometry, as listed in Alexandria via LeMat-Bulk.

Fermi-level density of states (states/eV per cell): 14.0
Distance to the lowest polymorph of the same formula (eV/atom): 0.000
Energy of formation (eV per atom): 0.019
Total DFT energy (no corrections) (eV/atom): -4.6082
Magnetization (μB/cell): 0.0

a b c (Å): 3.591 3.591 25.029
angles (deg): 90.00 90.00 90.00
Fractional coordinates of all 10 atoms:
1 Tb 0.000 0.000 0.000
2 Pm 0.500 0.500 0.102
3 Pm 0.500 0.500 0.301
4 Pm 0.500 0.500 0.500
5 Pm 0.500 0.500 0.699
6 Pm 0.500 0.500 0.898
7 Tm 0.000 0.000 0.202
8 Tm 0.000 0.000 0.401
9 Tm 0.000 0.000 0.599
10 Tm 0.000 0.000 0.798

=====

# 16
First-principles (PBE) data for crystalline SbOsW2 at its relaxed geometry, as listed in Alexandria via LeMat-Bulk.

Fermi-level density of states (states/eV per cell): 2.6
ΔE_f (raw) (meV per atom): 532
Total DFT energy (no corrections) (eV/atom): -9.7825
Magnetization (μB/cell): 0.0

a b c (Å): 9.073 9.073 9.073
angles (deg): 18.94 18.94 18.94
Fractional coordinates of all 4 atoms:
1 Os 0.505 0.505 0.505
2 Sb 0.751 0.751 0.751
3 W 0.997 0.997 0.997
4 W 0.247 0.247 0.247

=====

# 17
First-principles (PBE) data for crystalline RbYHf at its relaxed geometry, as listed in Alexandria via LeMat-Bulk.

Fermi-level density of states (states/eV per cell): 9.5
Distance to the lowest polymorph of the same formula (eV/atom): 0.228
Energy of formation (eV per atom): 0.474
Total DFT energy (no corrections) (eV/atom): -5.3208
Magnetization (μB/cell): 0.0

a b c (Å): 3.436 12.912 6.119
angles (deg): 81.62 105.98 93.32
Fractional coordinates of all 6 atoms:
1 Y 0.232 0.647 0.810
2 Y 0.830 0.415 0.104
3 Hf 0.961 0.633 0.282
4 Hf 0.560 0.476 0.550
5 Rb 0.511 0.907 0.259
6 Rb 0.063 0.190 0.674

=====

# 18
First-principles (PBE) data for crystalline LiAlBiSb2 at its relaxed geometry, as listed in Alexandria via LeMat-Bulk.

Fermi-level density of states (states/eV per cell): 3.9
ΔE_f (raw) (meV per atom): 307
Total DFT energy (no corrections) (eV/atom): -3.2494
Magnetization (μB/cell): 0.0

a b c (Å): 5.148 4.788 5.148
angles (deg): 90.00 90.00 90.00
Fractional coordinates of all 5 atoms:
1 Sb 0.000 0.000 0.500
2 Sb 0.500 0.000 0.000
3 Li 0.000 0.000 0.000
4 Bi 0.500 0.500 0.500
5 Al 0.000 0.500 0.000

=====

# 19
First-principles (PBE) data for crystalline La2DyMg3 at its relaxed geometry, as listed in Alexandria via LeMat-Bulk.

Fermi-level density of states (states/eV per cell): 7.1
Energy of formation (eV per atom): -0.099
Total DFT energy (no corrections) (eV/atom): -3.3061
Magnetization (μB/cell): 0.0

a b c (Å): 3.892 3.892 11.790
angles (deg): 90.00 90.00 90.00
Fractional coordinates of all 6 atoms:
1 La 0.500 0.500 0.827
2 La 0.500 0.500 0.173
3 Dy 0.500 0.500 0.500
4 Mg 0.000 0.000 0.000
5 Mg 0.000 0.000 0.653
6 Mg 0.000 0.000 0.347

=====

# 20
First-principles (PBE) data for crystalline Na2TlVBr8 at its relaxed geometry, as listed in Alexandria via LeMat-Bulk.

Fermi-level density of states (states/eV per cell): 7.4
ΔE_f (raw) (meV per atom): -906
Total DFT energy (no corrections) (eV/atom): -3.1979
Magnetization (μB/cell): 1.2

a b c (Å): 6.781 6.180 9.295
angles (deg): 89.91 89.99 93.23
Each line ends with the local moment (μB).
Fractional coordinates of all 12 atoms:
1 Na 0.500 0.499 0.771  0.00
2 Na 0.500 0.501 0.229  0.00
3 Tl 0.000 0.000 0.500  -0.01
4 V 0.000 0.000 0.000  1.08
5 Br 0.130 0.766 0.191  -0.04
6 Br 0.679 0.776 0.000  -0.03
7 Br 0.869 0.233 0.191  -0.04
8 Br 0.870 0.234 0.809  -0.04
9 Br 0.321 0.224 0.000  -0.03
10 Br 0.131 0.767 0.809  -0.04
11 Br 0.520 0.754 0.500  0.13
12 Br 0.480 0.246 0.500  0.13